(1)
A geometry-optimized PuZrC2 structure, computed with PBE.

SG: No. 12
Energy of formation (meV per atom): 88.2
Calculated volume (Å³ per atom): 14.7
Polymorph energy (0 for the lowest one) (eV per formula unit): 1.66

Cell: 3.389 3.355 6.037 Å, 95.69 89.99 120.33°
Sites, in units of the cell vectors:
Pu 0.000 0.500 0.000
Zr 0.000 0.500 0.500
C 0.684 0.868 0.738
C 0.316 0.132 0.262


(2)
A geometry-optimized PuZrC2 structure, computed with PBE.

SG: No. 160
Energy of formation (meV per atom): -44.8
Calculated volume (Å³ per atom): 14.5
Polymorph energy (0 for the lowest one) (eV per formula unit): 1.12

Cell: 3.399 3.399 6.109 Å, 73.85 73.85 60.00°
Sites, in units of the cell vectors:
Pu 0.670 0.670 0.989
Zr 0.500 0.500 0.500
C 0.083 0.083 0.752
C 0.247 0.247 0.259


(3)
A geometry-optimized PuZrC2 structure, computed with PBE.

SG: No. 166
Energy of formation (meV per atom): -325.7
Calculated volume (Å³ per atom): 14.3
Polymorph energy (0 for the lowest one) (eV per formula unit): 0.00

Cell: 3.411 3.411 6.009 Å, 73.51 73.51 60.00°
Sites, in units of the cell vectors:
C 0.252 0.252 0.245
C 0.748 0.748 0.755
Zr 0.000 0.000 0.000
Pu 0.500 0.500 0.500


(4)
A geometry-optimized RbC5 structure, computed with PBE.

SG: No. 216
Energy of formation (meV per atom): 3104.7
Calculated volume (Å³ per atom): 15.7
Polymorph energy (0 for the lowest one) (eV per formula unit): 12.59

Cell: 5.106 5.106 5.106 Å, 60.00 60.00 60.00°
Sites, in units of the cell vectors:
Rb 0.000 0.000 0.000
C 0.250 0.250 0.250
C 0.576 0.576 0.576
C 0.272 0.576 0.576
C 0.576 0.272 0.576
C 0.576 0.576 0.272


(5)
A geometry-optimized Rb2C structure, computed with PBE.

SG: No. 65
Energy of formation (meV per atom): 1598.1
Calculated volume (Å³ per atom): 46.0
Polymorph energy (0 for the lowest one) (eV per formula unit): 0.52

Cell: 9.011 9.011 4.559 Å, 90.00 90.00 131.76°
Sites, in units of the cell vectors:
Rb 0.000 0.000 0.000
Rb 0.500 0.500 0.500
Rb 0.749 0.251 0.500
Rb 0.251 0.749 0.500
C 0.631 0.369 0.000
C 0.369 0.631 0.000


(6)
A geometry-optimized Rb2C structure, computed with PBE.

SG: No. 62
Energy of formation (meV per atom): 1462.8
Calculated volume (Å³ per atom): 35.0
Polymorph energy (0 for the lowest one) (eV per formula unit): 0.11

Cell: 5.149 8.269 9.867 Å, 90.00 90.00 90.00°
Sites, in units of the cell vectors:
C 0.250 0.748 0.402
C 0.750 0.752 0.902
C 0.250 0.248 0.098
C 0.750 0.252 0.598
Rb 0.250 0.008 0.844
Rb 0.750 0.492 0.344
Rb 0.250 0.508 0.656
Rb 0.750 0.992 0.156
Rb 0.250 0.139 0.415
Rb 0.750 0.361 0.915
Rb 0.250 0.639 0.085
Rb 0.750 0.861 0.585


(7)
A geometry-optimized RbC5 structure, computed with PBE.

SG: No. 191
Energy of formation (meV per atom): 3206.9
Calculated volume (Å³ per atom): 9.3
Polymorph energy (0 for the lowest one) (eV per formula unit): 13.20

Cell: 4.983 4.983 2.604 Å, 90.00 90.00 120.00°
Sites, in units of the cell vectors:
Rb 0.000 0.000 0.500
C 0.500 0.000 0.000
C 0.500 0.500 0.000
C 0.000 0.500 0.000
C 0.667 0.333 0.500
C 0.333 0.667 0.500


(8)
A geometry-optimized RbC structure, computed with PBE.

SG: No. 225
Energy of formation (meV per atom): 2308.8
Calculated volume (Å³ per atom): 34.0
Polymorph energy (0 for the lowest one) (eV per formula unit): 4.03

Cell: 4.581 4.581 4.581 Å, 60.00 60.00 60.00°
Sites, in units of the cell vectors:
C 0.000 0.000 0.000
Rb 0.500 0.500 0.500


- The lowest energy of formation belongs to which entry?
  number 3